Material: TbNd7Y2
Method: DFT, GGA-PBE
State: relaxed

Geometry as CIF:
```
data_TbNd7Y2
_chemical_formula_sum 'Tb2 Nd14 Y4'
_cell_length_a 8.6810
_cell_length_b 17.4813
_cell_length_c 5.4915
_cell_angle_alpha 90.00
_cell_angle_beta 90.00
_cell_angle_gamma 90.00
_space_group_name_H-M_alt 'C m m m'
_space_group_IT_number 65
_space_group_name_Hall '-C 2 2'
loop_
_atom_site_label
_atom_site_fract_x
_atom_site_fract_y
_atom_site_fract_z
Tb1 0.0000 0.0000 0.0000
Nd1 0.0000 0.2010 0.0000
Nd2 0.0000 0.5000 0.5000
Nd3 0.1802 0.1088 0.5000
Y1 0.0000 0.2918 0.5000
```

Results
- V (Å³/cell) = 833
- energy above the most stable polymorph in this dataset (eV/atom) = 0.258
- DFT total energy (eV/atom) = -4.449
- total moment (μB/atom) = 0.0000
- crystal system = orthorhombic
- energy relative to the elements (eV per atom) = 0.64